Below is a geometry-optimized RbAcCd17 structure, with properties calculated at the GGA-PBE level.

abc: 7.844 7.844 7.844
angles: 82.73 82.73 82.73
Element x y z (fractional)
Rb 0.662 0.662 0.662
Ac 0.335 0.335 0.335
Cd 0.295 0.000 0.704
Cd 0.704 0.295 0.000
Cd 0.000 0.704 0.295
Cd 0.295 0.704 0.000
Cd 0.000 0.295 0.704
Cd 0.704 0.000 0.295
Cd 0.352 0.850 0.352
Cd 0.352 0.352 0.850
Cd 0.850 0.352 0.352
Cd 0.641 0.168 0.641
Cd 0.641 0.641 0.168
Cd 0.168 0.641 0.641
Cd 0.996 0.504 0.996
Cd 0.996 0.996 0.504
Cd 0.504 0.996 0.996
Cd 0.903 0.903 0.903
Cd 0.102 0.102 0.102

Calculated values
- D(E_F): 0.3644 states/eV per atom
- M_tot: 0.0 μB/f.u.
- V: 472 Å³ per cell
- Energy relative to the elements: -0.1139 eV per atom

---

Below is a geometry-optimized CrNi2W structure, with properties calculated at the GGA-PBE level.

abc: 4.547 4.547 4.547
angles: 132.40 132.49 69.53
Element x y z (fractional)
Cr 0.250 0.750 0.500
Ni 0.000 0.000 0.000
Ni 0.750 0.250 0.500
W 0.500 0.500 0.000

Calculated values
- Relative energy among the computed polymorphs: 0.35 eV/f.u.
- D(E_F): 1.1644 states/eV per atom
- M_tot: 2.3 μB/f.u.
- V: 50 Å³ per cell
- Energy relative to the elements: 0.1163 eV per atom

---

Below is a geometry-optimized PaPPd6 structure, with properties calculated at the GGA-PBE level.

abc: 5.289 5.289 5.289
angles: 94.57 94.57 94.57
Element x y z (fractional)
Pa 0.000 0.000 0.000
P 0.500 0.500 0.500
Pd 0.189 0.189 0.566
Pd 0.566 0.189 0.189
Pd 0.811 0.811 0.434
Pd 0.811 0.434 0.811
Pd 0.434 0.811 0.811
Pd 0.189 0.566 0.189

Calculated values
- D(E_F): 0.4017 states/eV per atom
- M_tot: 0.0 μB/f.u.
- V: 146 Å³ per cell
- Energy relative to the elements: -0.3512 eV per atom

---

Below is a geometry-optimized NpInSe2 structure, with properties calculated at the GGA-PBE level.

abc: 3.618 3.618 7.516
angles: 90.00 90.00 90.00
Element x y z (fractional)
Np 0.500 0.500 0.000
Se 0.000 0.000 0.784
Se 0.000 0.000 0.216
In 0.500 0.500 0.500

Calculated values
- Formation energy from raw total energies: -0.751 eV per atom
- D(E_F): 1.5764 states/eV per atom
- M_tot: 4.0 μB/f.u.
- V: 98 Å³ per cell

---

Below is a geometry-optimized NaTaTc2As structure, with properties calculated at the GGA-PBE level.

abc: 4.646 4.807 4.646
angles: 90.00 90.00 90.00
Element x y z (fractional)
Na 0.500 0.500 0.500
As 0.000 0.000 0.000
Tc 0.000 0.000 0.500
Tc 0.500 0.000 0.000
Ta 0.000 0.500 0.000

Calculated values
- D(E_F): 1.4923 states/eV per atom
- M_tot: 1.4 μB/f.u.
- V: 104 Å³ per cell
- Energy relative to the elements: 1.1235 eV per atom

---

Below is a geometry-optimized Ba2YAs2O6 structure, with properties calculated at the GGA-PBE level.

abc: 5.678 7.346 6.552
angles: 118.90 90.00 112.74
Element x y z (fractional)
Ba 0.735 0.470 0.239
Ba 0.265 0.530 0.761
Y 0.500 0.000 0.500
As 0.993 0.987 0.792
As 0.007 0.013 0.208
O 0.671 0.341 0.534
O 0.152 0.832 0.175
O 0.320 0.168 0.825
O 0.848 0.168 0.825
O 0.680 0.832 0.175
O 0.329 0.659 0.466

Calculated values
- Formation energy from raw total energies: -2.158 eV per atom
- D(E_F): 0.4752 states/eV per atom
- M_tot: 1.0 μB/f.u.
- V: 215 Å³ per cell

---

Below is a geometry-optimized NaSb2Se3 structure, with properties calculated at the GGA-PBE level.

abc: 4.176 6.063 7.322
angles: 114.46 106.57 90.00
Element x y z (fractional)
Na 0.500 0.500 0.500
Sb 0.834 0.834 0.167
Sb 0.166 0.166 0.833
Se 0.820 0.320 0.140
Se 0.180 0.680 0.860
Se 0.500 0.000 0.500

Calculated values
- Formation energy from raw total energies: -0.442 eV per atom
- Relative energy among the computed polymorphs: 0.00 eV/f.u.
- D(E_F): 0.1911 states/eV per atom
- M_tot: 0.0 μB/f.u.
- V: 160 Å³ per cell

---

Below is a geometry-optimized LiPPbO4 structure, with properties calculated at the GGA-PBE level.

abc: 5.038 8.110 18.934
angles: 90.00 90.00 90.00
Element x y z (fractional)
Li 0.696 0.324 0.849
Li 0.196 0.676 0.151
Li 0.196 0.176 0.349
Li 0.696 0.824 0.651
Li 0.196 0.488 0.443
Li 0.696 0.512 0.557
Li 0.696 0.012 0.943
Li 0.196 0.988 0.057
P 0.192 0.234 0.929
P 0.692 0.766 0.071
P 0.692 0.266 0.429
P 0.192 0.734 0.571
P 0.691 0.717 0.820
P 0.191 0.283 0.180
P 0.191 0.783 0.320
P 0.691 0.217 0.680
Pb 0.236 0.535 0.729
Pb 0.736 0.465 0.271
Pb 0.736 0.965 0.229
Pb 0.236 0.035 0.771
Pb 0.258 0.674 0.946
Pb 0.758 0.326 0.054
Pb 0.758 0.826 0.446
Pb 0.258 0.174 0.554
O 0.078 0.247 0.853
O 0.578 0.753 0.147
O 0.578 0.253 0.353
O 0.078 0.747 0.647
O 0.113 0.395 0.971
O 0.613 0.605 0.029
O 0.613 0.105 0.471
O 0.113 0.895 0.529
O 0.581 0.234 0.757
O 0.081 0.766 0.243
O 0.081 0.266 0.257
O 0.581 0.734 0.743
O 0.563 0.058 0.648
O 0.063 0.942 0.352
O 0.063 0.442 0.148
O 0.563 0.558 0.852
O 0.999 0.201 0.682
O 0.499 0.799 0.318
O 0.499 0.299 0.182
O 0.999 0.701 0.818
O 0.606 0.368 0.636
O 0.106 0.632 0.364
O 0.106 0.132 0.136
O 0.606 0.868 0.864
O 0.498 0.718 0.573
O 0.998 0.282 0.427
O 0.998 0.782 0.073
O 0.498 0.218 0.927
O 0.061 0.587 0.531
O 0.561 0.413 0.469
O 0.561 0.913 0.031
O 0.061 0.087 0.969

Calculated values
- Formation energy from raw total energies: -2.103 eV per atom
- D(E_F): 0.0000 states/eV per atom
- M_tot: 0.0 μB/f.u.
- V: 774 Å³ per cell

---

Below is a geometry-optimized TmTl2Bi structure, with properties calculated at the GGA-PBE level.

abc: 3.509 3.509 12.193
angles: 81.73 81.73 60.00
Element x y z (fractional)
Tl 0.087 0.087 0.738
Tl 0.913 0.913 0.262
Tm 0.000 0.000 0.000
Bi 0.500 0.500 0.500

Calculated values
- D(E_F): 0.8100 states/eV per atom
- M_tot: 0.0 μB/f.u.
- V: 128 Å³ per cell
- Energy relative to the elements: 0.1127 eV per atom

---

Below is a geometry-optimized TiTcS2Br structure, with properties calculated at the GGA-PBE level.

abc: 4.478 5.279 4.478
angles: 90.00 90.00 90.00
Element x y z (fractional)
S 0.000 0.000 0.500
S 0.500 0.000 0.000
Tc 0.000 0.000 0.000
Br 0.500 0.500 0.500
Ti 0.000 0.500 0.000

Calculated values
- Formation energy from raw total energies: 0.066 eV per atom
- D(E_F): 1.3110 states/eV per atom
- M_tot: 0.3 μB/f.u.
- V: 106 Å³ per cell

---

Below is a geometry-optimized Mg2SbTe structure, with properties calculated at the GGA-PBE level.

abc: 5.212 5.212 5.212
angles: 60.00 60.00 60.00
Element x y z (fractional)
Sb 0.000 0.000 0.000
Mg 0.250 0.250 0.250
Mg 0.750 0.750 0.750
Te 0.500 0.500 0.500

Calculated values
- Formation energy from raw total energies: -0.171 eV per atom
- Relative energy among the computed polymorphs: 1.19 eV/f.u.
- D(E_F): 0.6135 states/eV per atom
- M_tot: 0.0 μB/f.u.
- V: 100 Å³ per cell

---

Below is a geometry-optimized CdGaCo2I structure, with properties calculated at the GGA-PBE level.

abc: 4.998 5.271 4.998
angles: 90.00 90.00 90.00
Element x y z (fractional)
I 0.500 0.500 0.500
Co 0.000 0.000 0.500
Co 0.500 0.000 0.000
Ga 0.000 0.500 0.000
Cd 0.000 0.000 0.000

Calculated values
- Formation energy from raw total energies: 1.134 eV per atom
- D(E_F): 1.0080 states/eV per atom
- M_tot: 4.1 μB/f.u.
- V: 132 Å³ per cell